Entry from the Alexandria database: a relaxed structure of RbMnIO2 (PBE with a Hubbard U).

## Properties
excess energy over the best structure of this formula in the dataset	1.092	eV/atom
magnetic moment	8.066	Bohr magnetons per cell
density	3.1	g/cm3

Unit cell a=4.800 b=4.800 c=6.941 alpha=90.00 beta=90.00 gamma=90.00
Space group P4/mmm (No. 123)
Inequivalent atoms, fractional coordinates:
Rb: 0.000 0.000 0.000 (multiplicity 1)
Mn: 0.500 0.500 0.500 (multiplicity 1)
I: 0.000 0.000 0.500 (multiplicity 1)
O: 0.000 0.500 0.000 (multiplicity 2)